No. 1
Entry from the Alexandria database: an optimized crystal structure of Os2SeCl (GGA-PBE).

a b c (Å): 4.4912 4.4912 4.4912
angles (deg): 60.00 60.00 60.00
Element x y z (fractional)
Os 0.0000 0.0000 0.0000
Os 0.2500 0.2500 0.2500
Se 0.7500 0.7500 0.7500
Cl 0.5000 0.5000 0.5000

Calculated values
Formation energy from raw total energies = 1.2516 eV/atom
Excess energy over the best structure of this formula in the dataset = 1.0277 eV/atom
Space group = F-43m
Crystal system = cubic


No. 2
Entry from the Alexandria database: an optimized crystal structure of HfAl5Co6 (GGA-PBE).

a b c (Å): 4.1067 5.8537 6.4867
angles (deg): 90.00 108.35 90.00
Element x y z (fractional)
Hf 0.0000 0.0000 0.0000
Al 0.0000 0.5000 0.0000
Al 0.3304 0.0000 0.6607
Al 0.3345 0.5000 0.6694
Al 0.6655 0.5000 0.3306
Al 0.6696 0.0000 0.3393
Co 0.1701 0.2564 0.3400
Co 0.1701 0.7436 0.3400
Co 0.5000 0.2607 0.0000
Co 0.5000 0.7393 0.0000
Co 0.8299 0.2564 0.6600
Co 0.8299 0.7436 0.6600

Calculated values
Space group = P2/m
Crystal system = monoclinic
Formation enthalpy at 0 K = -568 meV/atom


No. 3
Entry from the Alexandria database: an optimized crystal structure of LaPr14Y (GGA-PBE).

a b c (Å): 10.5140 7.4066 7.4066
angles (deg): 90.00 90.00 90.00
Element x y z (fractional)
La 0.0000 0.0000 0.0000
Pr 0.0000 0.5001 0.9992
Pr 0.0000 0.9992 0.5001
Pr 0.2491 0.2507 0.2507
Pr 0.2491 0.2509 0.7482
Pr 0.2491 0.7482 0.2509
Pr 0.2493 0.7484 0.7484
Pr 0.5000 0.9998 0.4993
Pr 0.5000 0.4993 0.9998
Pr 0.5000 0.4997 0.4997
Pr 0.5000 0.9994 0.9994
Pr 0.7509 0.2507 0.2507
Pr 0.7509 0.2509 0.7482
Pr 0.7509 0.7482 0.2509
Pr 0.7507 0.7484 0.7484
Y 0.0000 0.4993 0.4993

Calculated values
Space group = Amm2
Crystal system = orthorhombic
Formation enthalpy at 0 K = 10 meV/atom


No. 4
Entry from the Alexandria database: an optimized crystal structure of BeInCl (GGA-PBE).

a b c (Å): 3.1970 3.1970 7.8104
angles (deg): 90.00 90.00 120.00
Element x y z (fractional)
Be 0.0000 0.0000 0.0000
In 0.3333 0.6667 0.7187
Cl 0.6667 0.3333 0.1493

Calculated values
Formation energy from raw total energies = -0.1924 eV/atom
Excess energy over the best structure of this formula in the dataset = 0.0000 eV/atom
Space group = P3m1
Crystal system = trigonal


No. 5
Entry from the Alexandria database: an optimized crystal structure of SrGa2CuHg (GGA-PBE).

a b c (Å): 5.0601 5.0601 6.3471
angles (deg): 90.00 90.00 90.00
Element x y z (fractional)
Sr 0.0000 0.0000 0.0000
Ga 0.0000 0.5000 0.5000
Ga 0.5000 0.0000 0.5000
Cu 0.5000 0.5000 0.0000
Hg 0.0000 0.0000 0.5000

Calculated values
Space group = P4/mmm
Crystal system = tetragonal
Formation enthalpy at 0 K = 434 meV/atom


No. 6
Entry from the Alexandria database: an optimized crystal structure of Mg3SbBr (GGA-PBE).

a b c (Å): 5.6812 5.6812 5.6812
angles (deg): 90.00 90.00 90.00
Element x y z (fractional)
Mg 0.0000 0.0000 0.5000
Mg 0.0000 0.5000 0.0000
Mg 0.5000 0.0000 0.0000
Sb 0.0000 0.0000 0.0000
Br 0.5000 0.5000 0.5000

Calculated values
Formation energy from raw total energies = -0.0146 eV/atom
Excess energy over the best structure of this formula in the dataset = 0.0000 eV/atom
Space group = Pm-3m
Crystal system = cubic


Q: Which formula does entry 6 have?
A: Mg3SbBr